# 1
First-principles (PBE-GGA) data for a relaxed Sr2NiSb3Pt4 crystal, as listed in Alexandria.

a b c (Å): 4.615 4.615 10.524
angles (deg): 90.00 90.00 90.00
Last column: magnetic moment on the atom in μB.
Element x y z (fractional)
Sr1 0.500 0.000 0.258  0.00
Sr2 0.000 0.500 0.742  0.00
Ni1 0.500 0.500 0.500  0.44
Sb1 0.000 0.000 0.500  0.01
Sb2 0.500 0.000 0.868  0.00
Sb3 0.000 0.500 0.132  0.00
Pt1 0.500 0.500 0.000  0.00
Pt2 0.000 0.000 0.000  0.00
Pt3 0.500 0.000 0.619  0.03
Pt4 0.000 0.500 0.381  0.03

Summary:
formation energy (no corrections) = -679 meV/atom
theoretical density = 10.22 g/cm3

---

# 2
First-principles (PBE-GGA) data for a relaxed Sr2Ni3Sb4Pt crystal, as listed in Alexandria.

a b c (Å): 4.603 4.603 10.271
angles (deg): 90.00 90.00 90.00
Element x y z (fractional)
Sr1 0.500 0.000 0.256
Sr2 0.000 0.500 0.744
Ni1 0.000 0.000 0.500
Ni2 0.500 0.000 0.882
Ni3 0.000 0.500 0.118
Sb1 0.500 0.500 0.000
Sb2 0.000 0.000 0.000
Sb3 0.500 0.000 0.633
Sb4 0.000 0.500 0.367
Pt1 0.500 0.500 0.500

Summary:
formation energy (no corrections) = -596 meV/atom
theoretical density = 7.89 g/cm3

---

# 3
First-principles (PBE-GGA) data for a relaxed NiSb2TePt crystal, as listed in Alexandria.

a b c (Å): 4.838 4.838 5.050
angles (deg): 90.00 90.00 90.00
Element x y z (fractional)
Sb1 0.000 0.500 0.000
Sb2 0.500 0.000 0.000
Te1 0.000 0.000 0.500
Pt1 0.500 0.500 0.500
Ni1 0.000 0.000 0.000

Summary:
formation energy (no corrections) = 490 meV/atom
theoretical density = 8.78 g/cm3
polymorph energy (0 for the lowest one) = 0.0 meV/atom

---

# 4
First-principles (PBE-GGA) data for a relaxed NiSb2TePt crystal, as listed in Alexandria.

a b c (Å): 5.158 5.158 5.478
angles (deg): 90.00 90.00 90.00
Last column: magnetic moment on the atom in μB.
Element x y z (fractional)
Sb1 0.000 0.500 0.000  -0.02
Sb2 0.500 0.000 0.000  -0.02
Te1 0.000 0.000 0.500  0.06
Pt1 0.000 0.000 0.000  -0.01
Ni1 0.500 0.500 0.500  0.68

Summary:
formation energy (no corrections) = 817 meV/atom
theoretical density = 7.12 g/cm3
polymorph energy (0 for the lowest one) = 326.6 meV/atom

---

# 5
First-principles (PBE-GGA) data for a relaxed UNiSbPt crystal, as listed in Alexandria.

a b c (Å): 4.739 4.739 4.739
angles (deg): 60.00 60.00 60.00
Last column: magnetic moment on the atom in μB.
Element x y z (fractional)
Sb1 0.500 0.500 0.500  -0.02
U1 0.000 0.000 0.000  1.40
Pt1 0.250 0.250 0.250  -0.09
Ni1 0.750 0.750 0.750  -0.21

Summary:
formation energy (no corrections) = -351 meV/atom
theoretical density = 13.54 g/cm3

---

# 6
First-principles (PBE-GGA) data for a relaxed VNi7Sb2Pt2 crystal, as listed in Alexandria.

a b c (Å): 3.514 3.514 13.966
angles (deg): 82.62 82.62 90.01
Element x y z (fractional)
V1 0.000 0.000 0.000
Ni1 0.500 0.500 0.000
Ni2 0.268 0.268 0.463
Ni3 0.732 0.732 0.537
Ni4 0.935 0.435 0.127
Ni5 0.435 0.935 0.127
Ni6 0.565 0.065 0.873
Ni7 0.065 0.565 0.873
Sb1 0.817 0.817 0.359
Sb2 0.183 0.183 0.641
Pt1 0.637 0.637 0.733
Pt2 0.363 0.363 0.267

Summary:
formation energy (no corrections) = -137 meV/atom
theoretical density = 10.72 g/cm3

---

# 7
First-principles (PBE-GGA) data for a relaxed Ni7Sb2Pt2W crystal, as listed in Alexandria.

a b c (Å): 3.560 3.560 13.960
angles (deg): 82.35 82.35 89.99
Element x y z (fractional)
Ni1 0.500 0.500 0.000
Ni2 0.268 0.268 0.462
Ni3 0.732 0.732 0.538
Ni4 0.932 0.432 0.130
Ni5 0.432 0.932 0.130
Ni6 0.568 0.068 0.870
Ni7 0.068 0.568 0.870
Sb1 0.813 0.813 0.359
Sb2 0.187 0.187 0.641
Pt1 0.640 0.640 0.731
Pt2 0.360 0.360 0.269
W1 0.000 0.000 0.000

Summary:
formation energy (no corrections) = -98 meV/atom
theoretical density = 11.74 g/cm3

---

# 8
First-principles (PBE-GGA) data for a relaxed Sc3Ni8Pt crystal, as listed in Alexandria.

a b c (Å): 4.838 4.838 8.403
angles (deg): 73.27 73.27 60.00
Element x y z (fractional)
Sc1 0.376 0.376 0.871
Sc2 0.991 0.991 0.028
Sc3 0.508 0.508 0.477
Ni1 0.941 0.437 0.184
Ni2 0.438 0.937 0.688
Ni3 0.437 0.437 0.184
Ni4 0.937 0.937 0.688
Ni5 0.188 0.188 0.437
Ni6 0.688 0.688 0.936
Ni7 0.437 0.941 0.184
Ni8 0.937 0.438 0.688
Pt1 0.872 0.872 0.385

Summary:
theoretical density = 8.26 g/cm3
E_form = -0.512 eV per atom

---

# 9
First-principles (PBE-GGA) data for a relaxed ScNiPt crystal, as listed in Alexandria.

a b c (Å): 4.263 4.263 4.263
angles (deg): 60.00 60.00 60.00
Element x y z (fractional)
Ni1 0.000 0.000 0.000
Pt1 0.500 0.500 0.500
Sc1 0.750 0.750 0.750

Summary:
theoretical density = 9.06 g/cm3
E_form = -0.307 eV per atom

---

# 10
First-principles (PBE-GGA) data for a relaxed Sc11Ni4Pt9 crystal, as listed in Alexandria.

a b c (Å): 3.427 11.318 11.318
angles (deg): 110.72 90.00 90.00
Element x y z (fractional)
Sc1 0.000 0.589 0.928
Sc2 0.000 0.411 0.072
Sc3 0.000 0.928 0.589
Sc4 0.000 0.072 0.411
Sc5 0.000 0.625 0.375
Sc6 0.000 0.375 0.625
Sc7 0.000 0.823 0.177
Sc8 0.000 0.177 0.823
Sc9 0.000 0.000 0.000
Sc10 0.000 0.735 0.735
Sc11 0.000 0.265 0.265
Ni1 0.500 0.567 0.747
Ni2 0.500 0.433 0.253
Ni3 0.500 0.747 0.567
Ni4 0.500 0.253 0.433
Pt1 0.500 0.619 0.148
Pt2 0.500 0.381 0.852
Pt3 0.500 0.148 0.619
Pt4 0.500 0.852 0.381
Pt5 0.500 0.793 0.964
Pt6 0.500 0.207 0.036
Pt7 0.500 0.964 0.793
Pt8 0.500 0.036 0.207
Pt9 0.500 0.500 0.500

Summary:
theoretical density = 10.05 g/cm3
E_form = -1.003 eV per atom

---

# 11
First-principles (PBE-GGA) data for a relaxed Sc2Ni9Pt crystal, as listed in Alexandria.

a b c (Å): 4.791 4.791 8.302
angles (deg): 73.23 73.23 60.00
Last column: magnetic moment on the atom in μB.
Element x y z (fractional)
Sc1 0.866 0.866 0.403  -0.07
Sc2 0.134 0.134 0.597  -0.07
Ni1 0.667 0.667 0.000  0.45
Ni2 0.333 0.333 0.000  0.45
Ni3 0.500 0.500 0.500  0.23
Ni4 0.415 0.415 0.252  0.29
Ni5 0.919 0.415 0.252  0.29
Ni6 0.415 0.919 0.252  0.29
Ni7 0.585 0.585 0.748  0.29
Ni8 0.585 0.081 0.748  0.29
Ni9 0.081 0.585 0.748  0.29
Pt1 0.000 0.000 0.000  0.07

Summary:
theoretical density = 8.68 g/cm3
E_form = -0.246 eV per atom

---

# 12
First-principles (PBE-GGA) data for a relaxed Sc5Ni2Pt crystal, as listed in Alexandria.

a b c (Å): 6.653 6.653 8.309
angles (deg): 113.60 113.60 90.00
Element x y z (fractional)
Sc1 0.526 0.683 0.709
Sc2 0.817 0.974 0.291
Sc3 0.000 0.000 0.000
Sc4 0.500 0.500 0.000
Sc5 0.183 0.026 0.709
Sc6 0.683 0.183 0.709
Sc7 0.026 0.526 0.709
Sc8 0.317 0.817 0.291
Sc9 0.974 0.474 0.291
Sc10 0.474 0.317 0.291
Ni1 0.127 0.373 0.000
Ni2 0.627 0.127 0.000
Ni3 0.373 0.873 0.000
Ni4 0.873 0.627 0.000
Pt1 0.750 0.750 0.500
Pt2 0.250 0.250 0.500

Summary:
theoretical density = 5.89 g/cm3
E_form = -0.617 eV per atom